Below is crystalline Fe2RhSe at its relaxed geometry, with properties calculated at the PBE-GGA level.

Output
Space-group type   No. 99
V   13.72 Å³/atom
ρ   8.9 Mg/m³
Raw formation energy   0.049 eV/atom
Magnetic moment   5.42 μB/f.u.

Unit cell a=3.0359 b=3.0359 c=5.9526 alpha=90.00 beta=90.00 gamma=90.00
Last column: nearest neighbours and their distance in Å.
Fractional coordinates of all 4 atoms:
1 Fe 0.0000 0.0000 0.0000  4 Se 2.52, 4 Fe 2.56
2 Fe 0.5000 0.5000 0.2330  4 Fe 2.56, 4 Rh 2.60, 1 Se 2.71
3 Rh 0.0000 0.0000 0.4803  5 Fe 2.60-2.86, 4 Se 2.78
4 Se 0.5000 0.5000 0.7780  5 Fe 2.52-2.71, 4 Rh 2.78



Below is crystalline SbOs2Pd at its relaxed geometry, with properties calculated at the PBE-GGA level.

Output
Space-group type   No. 122
V   18.29 Å³/atom
ρ   13.8 Mg/m³
Raw formation energy   0.642 eV/atom
Magnetic moment   0.00 μB/f.u.

Unit cell a=10.0807 b=10.0807 c=10.0807 alpha=157.78 beta=157.78 gamma=31.62
Last column: nearest neighbours and their distance in Å.
Fractional coordinates of all 8 atoms:
1 Sb 0.0000 0.0000 0.0000  4 Pd 2.75, 4 Os 2.89
2 Sb 0.7500 0.2500 0.5000  4 Pd 2.75, 4 Os 2.89
3 Os 0.1918 0.6250 0.0668  2 Os 2.41
4 Os 0.3750 0.4418 0.5668  2 Os 2.41
5 Os 0.5582 0.1250 0.9332  2 Os 2.41
6 Os 0.8750 0.8082 0.4332  2 Os 2.41
7 Pd 0.2500 0.7500 0.5000  4 Os 2.71, 4 Sb 2.75
8 Pd 0.5000 0.5000 0.0000  4 Os 2.71, 4 Sb 2.75



Below is crystalline Li2CdIr at its relaxed geometry, with properties calculated at the PBE-GGA level.

Output
Space-group type   No. 65
V   15.94 Å³/atom
ρ   8.3 Mg/m³
Calculated formation energy   -0.105 eV/atom
Magnetic moment   0.00 μB/f.u.

Unit cell a=2.7408 b=2.7408 c=9.3355 alpha=90.00 beta=90.00 gamma=114.60
Last column: nearest neighbours and their distance in Å.
Fractional coordinates of all 4 atoms:
1 Li 0.0000 0.0000 0.2188  2 Ir 2.52, 4 Li 2.74
2 Li 0.0000 0.0000 0.7812  2 Ir 2.52, 4 Li 2.74
3 Cd 0.5000 0.5000 0.5000  6 Cd 2.74-2.96, 4 Li 3.01
4 Ir 0.5000 0.5000 0.0000  4 Li 2.52, 4 Ir 2.74



Below is crystalline Li2AcPrTl2 at its relaxed geometry, with properties calculated at the PBE-GGA level.

Output
Space-group type   No. 164
V   27.58 Å³/atom
ρ   7.9 Mg/m³
Calculated formation energy   -0.279 eV/atom
Magnetic moment   0.01 μB/f.u.

Unit cell a=5.1372 b=5.1372 c=7.2406 alpha=90.00 beta=90.00 gamma=120.00
Last column: nearest neighbours and their distance in Å.
Fractional coordinates of all 6 atoms:
1 Li 0.3333 0.6667 0.2240  4 Tl 2.97-3.28
2 Li 0.6667 0.3333 0.7760  4 Tl 2.97-3.28
3 Ac 0.0000 0.0000 0.5000  6 Tl 3.56, 6 Li 3.58, 2 Pr 3.62
4 Pr 0.0000 0.0000 0.0000  6 Li 3.38, 6 Tl 3.40, 2 Ac 3.62
5 Tl 0.3333 0.6667 0.7710  4 Li 2.97-3.28
6 Tl 0.6667 0.3333 0.2290  4 Li 2.97-3.28



Below is crystalline RbNaScCl6 at its relaxed geometry, with properties calculated at the PBE-GGA level.

Output
Space-group type   No. 5
V   34.18 Å³/atom
ρ   2.0 Mg/m³
Raw formation energy   -1.693 eV/atom
Magnetic moment   1.19 μB/f.u.

Unit cell a=7.0406 b=7.0406 c=7.1876 alpha=90.06 beta=90.06 gamma=120.30
Last column: nearest neighbours and their distance in Å.
Fractional coordinates of all 9 atoms:
1 Rb 0.0000 0.0000 0.0000  6 Cl 3.34-3.35
2 Na 0.3343 0.6657 0.5000  6 Cl 2.84-2.85
3 Sc 0.6658 0.3342 0.5000  6 Cl 2.49-2.50
4 Cl 0.3773 0.0355 0.3031  1 Sc 2.50
5 Cl 0.3837 0.3457 0.7016  1 Sc 2.49
6 Cl 0.6543 0.6163 0.2984  1 Sc 2.49
7 Cl 0.6585 0.0405 0.6996  1 Sc 2.50
8 Cl 0.9595 0.3415 0.3004  1 Sc 2.50
9 Cl 0.9645 0.6227 0.6969  1 Sc 2.50



Below is crystalline Ca3Tb3DySe8 at its relaxed geometry, with properties calculated at the PBE-GGA level.

Output
Space-group type   No. 166
V   26.71 Å³/atom
ρ   5.8 Mg/m³
Raw formation energy   -1.924 eV/atom
Magnetic moment   0.00 μB/f.u.

Unit cell a=8.3303 b=8.3303 c=8.3303 alpha=59.13 beta=59.13 gamma=59.13
Last column: nearest neighbours and their distance in Å.
Fractional coordinates of all 15 atoms:
1 Ca 0.0000 0.5000 0.5000  6 Se 2.94-2.95
2 Ca 0.5000 0.0000 0.5000  6 Se 2.94-2.95
3 Ca 0.5000 0.5000 0.0000  6 Se 2.94-2.95
4 Tb 0.0000 0.0000 0.5000  6 Se 2.90-2.91
5 Tb 0.0000 0.5000 0.0000  6 Se 2.90-2.91
6 Tb 0.5000 0.0000 0.0000  6 Se 2.90-2.91
7 Dy 0.5000 0.5000 0.5000  6 Se 2.89
8 Se 0.2480 0.7474 0.7474  1 Dy 2.89, 2 Tb 2.90, 2 Ca 2.95
9 Se 0.2488 0.2488 0.2488  3 Tb 2.91, 3 Ca 2.94
10 Se 0.2526 0.2526 0.7520  1 Dy 2.89, 2 Tb 2.90, 2 Ca 2.95
11 Se 0.2526 0.7520 0.2526  1 Dy 2.89, 2 Tb 2.90, 2 Ca 2.95
12 Se 0.7474 0.2480 0.7474  1 Dy 2.89, 2 Tb 2.90, 2 Ca 2.95
13 Se 0.7474 0.7474 0.2480  1 Dy 2.89, 2 Tb 2.90, 2 Ca 2.95
14 Se 0.7512 0.7512 0.7512  3 Tb 2.91, 3 Ca 2.94
15 Se 0.7520 0.2526 0.2526  1 Dy 2.89, 2 Tb 2.90, 2 Ca 2.95



Below is crystalline RbPbIO2 at its relaxed geometry, with properties calculated at the PBE-GGA level.

Output
Space-group type   No. 123
V   26.83 Å³/atom
ΔE to the lowest computed polymorph   958 meV per atom
ρ   5.6 Mg/m³
Raw formation energy   0.371 eV/atom
Magnetic moment   0.52 μB/f.u.

Unit cell a=4.6329 b=4.6329 c=6.2498 alpha=90.00 beta=90.00 gamma=90.00
Last column: nearest neighbours and their distance in Å.
Fractional coordinates of all 5 atoms:
1 Rb 0.0000 0.0000 0.0000  4 O 2.32
2 Pb 0.5000 0.5000 0.5000  4 I 3.28
3 I 0.0000 0.0000 0.5000  2 Rb 3.12, 4 Pb 3.28
4 O 0.0000 0.5000 0.0000  2 Rb 2.32
5 O 0.5000 0.0000 0.0000  2 Rb 2.32



Below is crystalline Ca2ZnAgP at its relaxed geometry, with properties calculated at the PBE-GGA level.

Output
Space-group type   No. 123
V   28.11 Å³/atom
ρ   3.4 Mg/m³
Calculated formation energy   0.132 eV/atom
Magnetic moment   0.00 μB/f.u.

Unit cell a=5.4963 b=5.4963 c=4.6532 alpha=90.00 beta=90.00 gamma=90.00
Last column: nearest neighbours and their distance in Å.
Fractional coordinates of all 5 atoms:
1 Ca 0.0000 0.5000 0.0000  2 Zn 2.75
2 Ca 0.5000 0.0000 0.0000  2 Zn 2.75
3 Zn 0.0000 0.0000 0.0000  2 Ag 2.33
4 Ag 0.0000 0.0000 0.5000  2 Zn 2.33
5 P 0.5000 0.5000 0.5000  8 Ca 3.60, 4 Ag 3.89



Below is crystalline Ta9Fe2S6 at its relaxed geometry, with properties calculated at the PBE-GGA level.

Output
Space-group type   No. 189
V   18.25 Å³/atom
ΔE to the lowest computed polymorph   0 meV per atom
ρ   10.3 Mg/m³
Raw formation energy   -0.751 eV/atom
Magnetic moment   0.00 μB/f.u.

Unit cell a=10.4141 b=10.4141 c=6.6066 alpha=90.00 beta=90.00 gamma=120.00
Last column: nearest neighbours and their distance in Å.
Fractional coordinates of all 34 atoms:
1 Ta 0.0000 0.4593 0.2460  3 S 2.51-2.53
2 Ta 0.0000 0.4593 0.7540  3 S 2.51-2.53
3 Ta 0.1907 0.7352 0.5000  2 Fe 2.41, 3 S 2.43-2.54
4 Ta 0.2162 0.7434 0.0000  3 S 2.42-2.58, 2 Fe 2.57
5 Ta 0.2566 0.4729 0.0000  3 S 2.42-2.58, 2 Fe 2.57
6 Ta 0.2648 0.4555 0.5000  2 Fe 2.41, 3 S 2.43-2.54
7 Ta 0.4555 0.2648 0.5000  2 Fe 2.41, 3 S 2.43-2.54
8 Ta 0.4593 0.0000 0.2460  3 S 2.51-2.53
9 Ta 0.4593 0.0000 0.7540  3 S 2.51-2.53
10 Ta 0.4729 0.2566 0.0000  3 S 2.42-2.58, 2 Fe 2.57
11 Ta 0.5271 0.7838 0.0000  3 S 2.42-2.58, 2 Fe 2.57
12 Ta 0.5407 0.5407 0.2460  3 S 2.51-2.53
13 Ta 0.5407 0.5407 0.7540  3 S 2.51-2.53
14 Ta 0.5445 0.8093 0.5000  2 Fe 2.41, 3 S 2.43-2.54
15 Ta 0.7352 0.1907 0.5000  2 Fe 2.41, 3 S 2.43-2.54
16 Ta 0.7434 0.2162 0.0000  3 S 2.42-2.58, 2 Fe 2.57
17 Ta 0.7838 0.5271 0.0000  3 S 2.42-2.58, 2 Fe 2.57
18 Ta 0.8093 0.5445 0.5000  2 Fe 2.41, 3 S 2.43-2.54
19 Fe 0.3333 0.6667 0.2830  6 Ta 2.41-2.57
20 Fe 0.3333 0.6667 0.7170  6 Ta 2.41-2.57
21 Fe 0.6667 0.3333 0.2830  6 Ta 2.41-2.57
22 Fe 0.6667 0.3333 0.7170  6 Ta 2.41-2.57
23 S 0.0000 0.2762 0.0000  4 Ta 2.42-2.51
24 S 0.0000 0.2786 0.5000  4 Ta 2.43-2.52
25 S 0.0000 0.7019 0.2340  5 Ta 2.53-2.58
26 S 0.0000 0.7019 0.7660  5 Ta 2.53-2.58
27 S 0.2762 0.0000 0.0000  4 Ta 2.42-2.51
28 S 0.2786 0.0000 0.5000  4 Ta 2.43-2.52
29 S 0.2981 0.2981 0.2340  5 Ta 2.53-2.58
30 S 0.2981 0.2981 0.7660  5 Ta 2.53-2.58
31 S 0.7019 0.0000 0.2340  5 Ta 2.53-2.58
32 S 0.7019 0.0000 0.7660  5 Ta 2.53-2.58
33 S 0.7214 0.7214 0.5000  4 Ta 2.43-2.52
34 S 0.7238 0.7238 0.0000  4 Ta 2.42-2.51



Below is crystalline GaTc2Pb at its relaxed geometry, with properties calculated at the PBE-GGA level.

Output
Space-group type   No. 225
V   16.76 Å³/atom
ΔE to the lowest computed polymorph   0 meV per atom
ρ   11.7 Mg/m³
Calculated formation energy   0.465 eV/atom
Magnetic moment   0.00 μB/f.u.

Unit cell a=4.5597 b=4.5597 c=4.5597 alpha=60.00 beta=60.00 gamma=60.00
Last column: nearest neighbours and their distance in Å.
Fractional coordinates of all 4 atoms:
1 Ga 0.0000 0.0000 0.0000  8 Tc 2.79
2 Tc 0.2500 0.2500 0.2500  4 Pb 2.79, 4 Ga 2.79
3 Tc 0.7500 0.7500 0.7500  4 Pb 2.79, 4 Ga 2.79
4 Pb 0.5000 0.5000 0.5000  8 Tc 2.79



Below is crystalline NbV2Ag at its relaxed geometry, with properties calculated at the PBE-GGA level.

Output
Space-group type   No. 225
V   15.72 Å³/atom
ΔE to the lowest computed polymorph   0 meV per atom
ρ   8.0 Mg/m³
Calculated formation energy   0.343 eV/atom
Magnetic moment   0.00 μB/f.u.

Unit cell a=4.4633 b=4.4633 c=4.4633 alpha=60.00 beta=60.00 gamma=60.00
Last column: nearest neighbours and their distance in Å.
Fractional coordinates of all 4 atoms:
1 Nb 0.0000 0.0000 0.0000  8 V 2.73
2 V 0.2500 0.2500 0.2500  4 Nb 2.73, 4 Ag 2.73
3 V 0.7500 0.7500 0.7500  4 Nb 2.73, 4 Ag 2.73
4 Ag 0.5000 0.5000 0.5000  8 V 2.73



Below is crystalline KH3Au at its relaxed geometry, with properties calculated at the PBE-GGA level.

Output
Space-group type   No. 62
V   14.97 Å³/atom
ΔE to the lowest computed polymorph   190 meV per atom
ρ   5.3 Mg/m³
Magnetic moment   0.00 μB/f.u.

Unit cell a=5.9980 b=7.5919 c=6.5757 alpha=90.00 beta=90.00 gamma=90.00
Last column: nearest neighbours and their distance in Å.
Fractional coordinates of all 20 atoms:
1 K 0.0000 0.0000 0.0000  8 H 2.71-2.97
2 K 0.0000 0.5000 0.0000  8 H 2.71-2.97
3 K 0.5000 0.0000 0.5000  8 H 2.71-2.97
4 K 0.5000 0.5000 0.5000  8 H 2.71-2.97
5 H 0.0740 0.0944 0.3917  1 Au 1.67
6 H 0.0740 0.4056 0.3917  1 Au 1.67
7 H 0.2253 0.7500 0.2602  1 Au 1.74
8 H 0.2747 0.2500 0.7602  1 Au 1.74
9 H 0.4260 0.5944 0.8917  1 Au 1.67
10 H 0.4260 0.9056 0.8917  1 Au 1.67
11 H 0.5740 0.0944 0.1083  1 Au 1.67
12 H 0.5740 0.4056 0.1083  1 Au 1.67
13 H 0.7253 0.7500 0.2398  1 Au 1.74
14 H 0.7747 0.2500 0.7398  1 Au 1.74
15 H 0.9260 0.5944 0.6083  1 Au 1.67
16 H 0.9260 0.9056 0.6083  1 Au 1.67
17 Au 0.0290 0.7500 0.4550  3 H 1.67-1.74
18 Au 0.4710 0.2500 0.9550  3 H 1.67-1.74
19 Au 0.5290 0.7500 0.0450  3 H 1.67-1.74
20 Au 0.9710 0.2500 0.5450  3 H 1.67-1.74



Calculated values (states/eV per cell) of Fermi-level density of states for the records, taken in order: 2.1; 7.2; 2.2; 5.9; 12.2; 4.4; 2.3; 2.6; 11.1; 5.8; 5.3; 0.3.